# 1
# VHgTe2 (PBE-GGA, relaxed)
data_VHgTe2
_symmetry_space_group_name_H-M 'R -3 m'
_symmetry_Int_Tables_number 166
_symmetry_space_group_name_Hall '-R 3 2"'
_cell_length_a 3.2677
_cell_length_b 3.2677
_cell_length_c 37.7258
_cell_angle_alpha 90.00
_cell_angle_beta 90.00
_cell_angle_gamma 120.00
loop_
_atom_site_label
_atom_site_type_symbol
_atom_site_fract_x
_atom_site_fract_y
_atom_site_fract_z
V1 V 0.0000 0.0000 0.0000
Hg1 Hg 0.0000 0.0000 0.5000
Te1 Te 0.0000 0.0000 0.0711
# Formation energy from raw total energies   1.644 eV/f.u.
# Size of the total moment   0.86 μB per atom



# 2
# PbBrCl2 (PBE-GGA, relaxed)
data_PbBrCl2
_symmetry_space_group_name_H-M 'P m m m'
_symmetry_Int_Tables_number 47
_cell_length_a 4.293
_cell_length_b 4.370
_cell_length_c 5.476
_cell_angle_alpha 90.00
_cell_angle_beta 90.00
_cell_angle_gamma 90.00
loop_
_symmetry_equiv_pos_as_xyz
'x,y,z'
'-x,-y,-z'
'-x,-y,z'
'x,y,-z'
'x,-y,-z'
'-x,y,z'
'-x,y,-z'
'x,-y,z'
loop_
_atom_site_label
_atom_site_type_symbol
_atom_site_fract_x
_atom_site_fract_y
_atom_site_fract_z
Pb1 Pb 0.000 0.000 0.000
Br1 Br 0.500 0.000 0.500
Cl1 Cl 0.000 0.500 0.500
Cl2 Cl 0.500 0.500 0.000
# Formation energy from raw total energies   -1.850 eV/f.u.
# Offset from the most stable computed form   219.0 meV/atom
# Size of the total moment   0.00 μB per atom



What did the second record say?
# PbBrCl2 (PBE-GGA, relaxed)
data_PbBrCl2
_symmetry_space_group_name_H-M 'P m m m'
_symmetry_Int_Tables_number 47
_cell_length_a 4.293
_cell_length_b 4.370
_cell_length_c 5.476
_cell_angle_alpha 90.00
_cell_angle_beta 90.00
_cell_angle_gamma 90.00
loop_
_symmetry_equiv_pos_as_xyz
'x,y,z'
'-x,-y,-z'
'-x,-y,z'
'x,y,-z'
'x,-y,-z'
'-x,y,z'
'-x,y,-z'
'x,-y,z'
loop_
_atom_site_label
_atom_site_type_symbol
_atom_site_fract_x
_atom_site_fract_y
_atom_site_fract_z
Pb1 Pb 0.000 0.000 0.000
Br1 Br 0.500 0.000 0.500
Cl1 Cl 0.000 0.500 0.500
Cl2 Cl 0.500 0.500 0.000
# Formation energy from raw total energies   -1.850 eV/f.u.
# Offset from the most stable computed form   219.0 meV/atom
# Size of the total moment   0.00 μB per atom



Q: The lowest size of the total moment belongs to which entry?
A: PbBrCl2



Q: What is the size of the total moment in the second record?
A: 0.00 μB per atom



What did the first record say?
# VHgTe2 (PBE-GGA, relaxed)
data_VHgTe2
_symmetry_space_group_name_H-M 'R -3 m'
_symmetry_Int_Tables_number 166
_symmetry_space_group_name_Hall '-R 3 2"'
_cell_length_a 3.2677
_cell_length_b 3.2677
_cell_length_c 37.7258
_cell_angle_alpha 90.00
_cell_angle_beta 90.00
_cell_angle_gamma 120.00
loop_
_atom_site_label
_atom_site_type_symbol
_atom_site_fract_x
_atom_site_fract_y
_atom_site_fract_z
V1 V 0.0000 0.0000 0.0000
Hg1 Hg 0.0000 0.0000 0.5000
Te1 Te 0.0000 0.0000 0.0711
# Formation energy from raw total energies   1.644 eV/f.u.
# Size of the total moment   0.86 μB per atom